Entry 1:
# SrCa2Cr

A crystal of SrCa2Cr relaxed with PBEsol (meta-GGA SCAN, the Alexandria database).

Cell: 5.0776 5.0776 5.3434 Å, 90.00 90.00 90.00°
Element x y z (fractional)
Sr (0.0000, 0.0000, 0.0000)
Ca (0.0000, 0.5000, 0.5000)
Ca (0.5000, 0.0000, 0.5000)
Cr (0.5000, 0.5000, 0.0000)

SG: No. 123
Density in g/cm3: 2.649
N(E_F) in states/eV/atom: 1.093
Crystal system: tetragonal
Calculated formation energy in eV/f.u.: 1.23
Energy above the most stable polymorph in this dataset in eV per atom: 0.0177
Total moment in μB/atom: 1.24

=====

Entry 2:
# Te2RhPb

A crystal of Te2RhPb relaxed with PBEsol (meta-GGA SCAN, the Alexandria database).

Cell: 5.7055 5.7055 5.7055 Å, 134.23 134.23 66.73°
Element x y z (fractional)
Te (0.0000, 0.0000, 0.0000)
Te (0.7500, 0.2500, 0.5000)
Rh (0.2500, 0.7500, 0.5000)
Pb (0.5000, 0.5000, 0.0000)

SG: No. 119
Density in g/cm3: 10.003
Formation energy without anion corrections in meV per atom: 378
N(E_F) in states/eV/atom: 0.620
Crystal system: tetragonal
Total moment in μB/atom: 0.00

=====

Q: Which of these has the highest total moment?
A: SrCa2Cr

=====

Repeat the second record exactly.
# Te2RhPb

A crystal of Te2RhPb relaxed with PBEsol (meta-GGA SCAN, the Alexandria database).

Cell: 5.7055 5.7055 5.7055 Å, 134.23 134.23 66.73°
Element x y z (fractional)
Te (0.0000, 0.0000, 0.0000)
Te (0.7500, 0.2500, 0.5000)
Rh (0.2500, 0.7500, 0.5000)
Pb (0.5000, 0.5000, 0.0000)

SG: No. 119
Density in g/cm3: 10.003
Formation energy without anion corrections in meV per atom: 378
N(E_F) in states/eV/atom: 0.620
Crystal system: tetragonal
Total moment in μB/atom: 0.00

=====

Q: Among the records above, which one has the highest N(E_F)?
A: SrCa2Cr

=====

Q: Which of these has the lowest N(E_F)?
A: Te2RhPb